Record 1
RbPmOF2 after structural relaxation. Source: the Alexandria database, functional PBE.

The structure belongs to space group P4/mmm (No. 123); the cell edges are 4.682, 4.682 and 4.526 Å and the angles 90.00°, 90.00° and 90.00°. Symmetry generates all atoms from Rb at (0.000, 0.000, 0.000), Pm at (0.500, 0.500, 0.500), O at (0.500, 0.500, 0.000) and F at (0.000, 0.500, 0.500).

***

Record 2
Pm3RuO6F2 after structural relaxation. Source: the Alexandria database, functional PBE.

The structure belongs to space group C2/m (No. 12); the cell edges are 11.417, 6.682 and 5.012 Å and the angles 90.00°, 93.07° and 90.00°. Symmetry generates all atoms from Pm at (0.000, 0.000, 0.000), Pm at (0.250, 0.250, 0.500), Ru at (0.000, 0.500, 0.500), O at (0.066, 0.270, 0.284), O at (0.155, 0.500, 0.706) and F at (0.175, 0.000, 0.774).

***

no.,total moment (μB per cell),raw formation energy (meV/atom)
1,0.000,-3189
2,6.010,-2592